## A
4
Lattice="1.845 -3.642 0.000 1.845 3.642 0.000 0.000 0.000 8.109" Properties=species:S:1:pos:R:3 comment="AsBr meta-GGA SCAN PBEsol geometry" m_tot_mub_per_cell=0.000 volume_a3_per_atom=27.25 spacegroup="Cmme (67)" pbc="T T T"
As 1.845 1.821 7.330
As 1.845 -1.821 0.779
Br 1.845 1.821 2.833
Br 1.845 -1.821 5.276


## B
4
Lattice="5.377 -1.839 0.000 5.377 1.839 0.000 -1.039 0.000 5.693" Properties=species:S:1:pos:R:3 comment="AsBr meta-GGA SCAN PBEsol geometry" m_tot_mub_per_cell=0.000 volume_a3_per_atom=28.14 spacegroup="C2/m (12)" pbc="T T T"
As 1.854 0.000 2.040
As 7.860 0.000 3.652
Br 4.037 0.000 1.074
Br 5.677 0.000 4.618


Relative to the most stable one, in meV/atom, the structures come out at A 541; B 0.